# GGA+U LiCo2AsO6, optimized geometry
# E_tot: -5.86 eV per atom
data_LiCo2AsO6
_chemical_formula_sum 'Li3 Co6 As3 O18'
_cell_length_a 4.8561
_cell_length_b 4.8561
_cell_length_c 13.3105
_cell_angle_alpha 90.00
_cell_angle_beta 90.00
_cell_angle_gamma 120.00
_symmetry_space_group_name_H-M 'R 3'
_symmetry_Int_Tables_number 146
_symmetry_space_group_name_Hall 'R 3'
loop_
_atom_site_label
_atom_site_type_symbol
_atom_site_fract_x
_atom_site_fract_y
_atom_site_fract_z
Li1 Li 0.0000 0.0000 0.0000
Co1 Co 0.0000 0.0000 0.2925
Co2 Co 0.0000 0.0000 0.7958
As1 As 0.0000 0.0000 0.4873
O1 O 0.0147 0.7146 0.3939
O2 O 0.0223 0.3456 0.5529